(1)
VASP calculation (GGA-PBE) on PuAl8Cu4 after structural relaxation.

Output
The total magnetization comes out at 11.39 Bohr magnetons per cell. Its formation energy is -0.283 eV/atom.

The structure in CIF format:
```
data_PuAl8Cu4
_cell_length_a 8.843
_cell_length_b 8.843
_cell_length_c 5.103
_cell_angle_alpha 90.00
_cell_angle_beta 90.00
_cell_angle_gamma 90.00
_symmetry_space_group_name_H-M 'I 4/m m m'
_symmetry_Int_Tables_number 139
_symmetry_space_group_name_Hall '-I 4 2'
loop_
_atom_site_label
_atom_site_type_symbol
_atom_site_fract_x
_atom_site_fract_y
_atom_site_fract_z
Pu1 Pu 0.000 0.000 0.000
Al1 Al 0.000 0.218 0.500
Al2 Al 0.000 0.347 0.000
Cu1 Cu 0.250 0.250 0.250
```


(2)
VASP calculation (GGA-PBE) on Be3GaAu after structural relaxation.

Output
The total magnetization comes out at 0.00 Bohr magnetons per cell. The energy above the most stable polymorph in this dataset is 1.11 eV/f.u. Its formation energy is 0.740 eV/atom.

The structure in CIF format:
```
data_Be3GaAu
_cell_length_a 4.212
_cell_length_b 4.212
_cell_length_c 4.212
_cell_angle_alpha 90.00
_cell_angle_beta 90.00
_cell_angle_gamma 90.00
_symmetry_space_group_name_H-M 'P m -3 m'
_symmetry_Int_Tables_number 221
_symmetry_space_group_name_Hall '-P 4 2 3'
loop_
_atom_site_label
_atom_site_type_symbol
_atom_site_fract_x
_atom_site_fract_y
_atom_site_fract_z
Be1 Be 0.000 0.000 0.500
Ga1 Ga 0.000 0.000 0.000
Au1 Au 0.500 0.500 0.500
```


no.,total energy (eV for the cell shown)
1,-128.7
2,-13.8